1.
# PBE Sr2PPtW, relaxed
# Formation enthalpy at 0 K = 4.393 eV/f.u.
data_Sr2PPtW
_space_group_name_H-M_alt 'P 4/m m m'
_space_group_IT_number 123
_space_group_name_Hall '-P 4 2'
_cell_length_a 5.8600
_cell_length_b 5.8600
_cell_length_c 4.7255
_cell_angle_alpha 90.00
_cell_angle_beta 90.00
_cell_angle_gamma 90.00
loop_
_atom_site_label
_atom_site_fract_x
_atom_site_fract_y
_atom_site_fract_z
Sr1 0.0000 0.5000 0.0000
P1 0.0000 0.0000 0.5000
Pt1 0.5000 0.5000 0.5000
W1 0.5000 0.5000 0.0000

=====

2.
# PBE SrZnPPt6, relaxed
# Formation enthalpy at 0 K = -2.887 eV/f.u.
data_SrZnPPt6
_space_group_name_H-M_alt 'I m m a'
_space_group_IT_number 74
_space_group_name_Hall '-I 2b 2'
_cell_length_a 6.6054
_cell_length_b 9.2057
_cell_length_c 11.3559
_cell_angle_alpha 90.00
_cell_angle_beta 90.00
_cell_angle_gamma 90.00
loop_
_atom_site_label
_atom_site_fract_x
_atom_site_fract_y
_atom_site_fract_z
Sr1 0.0000 0.2500 0.1801
Zn1 0.2500 0.2500 0.7500
P1 0.0000 0.0000 0.5000
Pt1 0.0000 0.2500 0.4431
Pt2 0.0000 0.2500 0.9122
Pt3 0.2385 0.0158 0.8735

=====

3.
# PBE TaPPt2, relaxed
# Formation enthalpy at 0 K = -1.574 eV/f.u.
data_TaPPt2
_space_group_name_H-M_alt 'C 1 m 1'
_space_group_IT_number 8
_cell_length_a 9.3317
_cell_length_b 3.2584
_cell_length_c 4.4131
_cell_angle_alpha 90.00
_cell_angle_beta 90.43
_cell_angle_gamma 90.00
loop_
_space_group_symop_operation_xyz
'x,y,z'
'x,-y,z'
'x+1/2,y+1/2,z'
'x+1/2,-y+1/2,z'
loop_
_atom_site_label
_atom_site_fract_x
_atom_site_fract_y
_atom_site_fract_z
Ta1 0.0000 0.0000 0.0000
P1 0.2456 0.5000 0.8444
Pt1 0.0645 0.5000 0.4856
Pt2 0.2862 0.0000 0.2295